Record 1
# SbPW2 PBEsol optimized geometry
# - ΔE_f (raw): 0.5850 eV per atom
# - Crystal system: tetragonal
data_SbPW2
_cell_length_a 4.169
_cell_length_b 4.169
_cell_length_c 7.531
_cell_angle_alpha 90.00
_cell_angle_beta 90.00
_cell_angle_gamma 90.00
_symmetry_space_group_name_H-M 'I -4 m 2'
_symmetry_Int_Tables_number 119
_symmetry_space_group_name_Hall 'I -4 -2'
loop_
_atom_site_label
_atom_site_type_symbol
_atom_site_fract_x
_atom_site_fract_y
_atom_site_fract_z
Sb1 Sb 0.000 0.000 0.000
P1 P 0.000 0.500 0.250
W1 W 0.000 0.000 0.500
W2 W 0.000 0.500 0.750



Record 2
# Sb2PW PBEsol optimized geometry
# - ΔE_f (raw): 0.7271 eV per atom
# - Crystal system: monoclinic
data_Sb2PW
_cell_length_a 6.435
_cell_length_b 7.478
_cell_length_c 3.230
_cell_angle_alpha 90.00
_cell_angle_beta 101.31
_cell_angle_gamma 90.00
_symmetry_space_group_name_H-M 'C 1 2/m 1'
_symmetry_Int_Tables_number 12
loop_
_symmetry_equiv_pos_as_xyz
'x,y,z'
'-x,-y,-z'
'-x,y,-z'
'x,-y,z'
'x+1/2,y+1/2,z'
'-x+1/2,-y+1/2,-z'
'-x+1/2,y+1/2,-z'
'x+1/2,-y+1/2,z'
loop_
_atom_site_label
_atom_site_type_symbol
_atom_site_fract_x
_atom_site_fract_y
_atom_site_fract_z
Sb1 Sb 0.250 0.250 0.000
P1 P 0.000 0.000 0.500
W1 W 0.000 0.500 0.500



Record 3
# YSbP PBEsol optimized geometry
# - ΔE_f (raw): -0.4693 eV per atom
# - Crystal system: cubic
data_YSbP
_cell_length_a 6.644
_cell_length_b 6.644
_cell_length_c 6.644
_cell_angle_alpha 90.00
_cell_angle_beta 90.00
_cell_angle_gamma 90.00
_symmetry_space_group_name_H-M 'F -4 3 m'
_symmetry_Int_Tables_number 216
_symmetry_space_group_name_Hall 'F -4 2 3'
loop_
_atom_site_label
_atom_site_type_symbol
_atom_site_fract_x
_atom_site_fract_y
_atom_site_fract_z
Y1 Y 0.000 0.000 0.000
Sb1 Sb 0.000 0.000 0.500
P1 P 0.250 0.250 0.250



Record 4
# Y2SbP PBEsol optimized geometry
# - ΔE_f (raw): -1.4020 eV per atom
# - Crystal system: trigonal
data_Y2SbP
_cell_length_a 4.1026
_cell_length_b 4.1026
_cell_length_c 20.6332
_cell_angle_alpha 90.00
_cell_angle_beta 90.00
_cell_angle_gamma 120.00
_symmetry_space_group_name_H-M 'R -3 m'
_symmetry_Int_Tables_number 166
_symmetry_space_group_name_Hall '-R 3 2"'
loop_
_atom_site_label
_atom_site_type_symbol
_atom_site_fract_x
_atom_site_fract_y
_atom_site_fract_z
Y1 Y 0.0000 0.0000 0.2416
Sb1 Sb 0.0000 0.0000 0.0000
P1 P 0.0000 0.0000 0.5000